Record 1
This record from Alexandria via LeMat-Bulk describes an optimized crystal structure of MgNi2H6. The functional is PBE.

* E_tot: -3.767 eV/atom
* volume: 65 Å³/cell

a b c (Å): 4.531 4.531 4.531
angles (deg): 59.17 59.17 59.17
Fractional positions:
Mg 0.000 0.000 0.000
Ni 0.526 0.526 0.526
Ni 0.744 0.744 0.744
H 0.121 0.489 0.830
H 0.447 0.914 0.547
H 0.489 0.830 0.121
H 0.547 0.447 0.914
H 0.830 0.121 0.489
H 0.914 0.547 0.447

---

Record 2
This record from Alexandria via LeMat-Bulk describes an optimized crystal structure of Ca2Si2C. The functional is PBE.

* volume: 172 Å³/cell
* offset from the most stable computed form: 0.0000 eV/atom
* E_form (uncorrected): 0.33 eV/atom

a b c (Å): 6.596 6.596 6.596
angles (deg): 128.16 128.16 76.37
Fractional positions:
Ca 0.250 0.750 0.500
Ca 0.750 0.250 0.500
Si 0.170 0.170 0.000
Si 0.830 0.830 0.000
C 0.000 0.000 0.000

---

Question: Which of these has the lowest volume?
Answer: MgNi2H6